Entry from the Alexandria database: a geometry-optimized Sr2LaPaBi4 structure (PBE).

Values from the calculation:
- V (Å³/cell) = 297
- crystal system = monoclinic
- formation enthalpy at 0 K (meV per atom) = -736.0

Lattice parameters (Å, degrees): 8.1490 4.7119 8.1909 90.00 109.20 90.00
Fractional positions:
Sr (0.0000, 0.0000, 0.0000)
Sr (0.5000, 0.5000, 0.0000)
La (0.0000, 0.5000, 0.5000)
Pa (0.5000, 0.0000, 0.5000)
Bi (0.2582, 0.0000, 0.7289)
Bi (0.2714, 0.5000, 0.2766)
Bi (0.7286, 0.5000, 0.7234)
Bi (0.7418, 0.0000, 0.2711)



Entry from the Alexandria database: a geometry-optimized Na4SrCd2 structure (PBE).

Values from the calculation:
- V (Å³/cell) = 463
- crystal system = orthorhombic
- formation enthalpy at 0 K (meV per atom) = -95.1

Lattice parameters (Å, degrees): 4.7814 20.4846 4.7286 90.00 90.00 90.00
Fractional positions:
Na (0.0000, 0.1765, 0.0000)
Na (0.0000, 0.3235, 0.5000)
Na (0.0000, 0.6765, 0.5000)
Na (0.0000, 0.8235, 0.0000)
Na (0.5000, 0.1765, 0.5000)
Na (0.5000, 0.3235, 0.0000)
Na (0.5000, 0.6765, 0.0000)
Na (0.5000, 0.8235, 0.5000)
Sr (0.0000, 0.0000, 0.5000)
Sr (0.5000, 0.5000, 0.5000)
Cd (0.0000, 0.4293, 0.0000)
Cd (0.0000, 0.5707, 0.0000)
Cd (0.5000, 0.0707, 0.0000)
Cd (0.5000, 0.9293, 0.0000)



Entry from the Alexandria database: a geometry-optimized BaAl3N structure (PBE).

Values from the calculation:
- V (Å³/cell) = 103
- crystal system = cubic
- raw formation energy (eV/atom) = 0.490

Lattice parameters (Å, degrees): 4.6814 4.6814 4.6814 90.00 90.00 90.00
Fractional positions:
Ba (0.0000, 0.0000, 0.0000)
Al (0.0000, 0.5000, 0.5000)
Al (0.5000, 0.0000, 0.5000)
Al (0.5000, 0.5000, 0.0000)
N (0.5000, 0.5000, 0.5000)



Entry from the Alexandria database: a geometry-optimized AsIr4Os structure (PBE).

Values from the calculation:
- V (Å³/cell) = 98
- crystal system = cubic
- formation enthalpy at 0 K (meV per atom) = 897.4

Lattice parameters (Å, degrees): 5.1716 5.1716 5.1716 60.00 60.00 60.00
Fractional positions:
As (0.0000, 0.0000, 0.0000)
Ir (0.1265, 0.6245, 0.6245)
Ir (0.6245, 0.1265, 0.6245)
Ir (0.6245, 0.6245, 0.1265)
Ir (0.6245, 0.6245, 0.6245)
Os (0.2500, 0.2500, 0.2500)



Entry from the Alexandria database: a geometry-optimized TaSiPbS6 structure (PBE).

Values from the calculation:
- V (Å³/cell) = 204
- crystal system = trigonal
- raw formation energy (eV/atom) = -0.515

Lattice parameters (Å, degrees): 6.3120 6.3120 5.8993 90.00 90.00 120.00
Fractional positions:
Ta (0.0000, 0.0000, 0.0000)
Si (0.3333, 0.6667, 0.0000)
Pb (0.6667, 0.3333, 0.5000)
S (0.0593, 0.3477, 0.2269)
S (0.0593, 0.7116, 0.7731)
S (0.2884, 0.3477, 0.7731)
S (0.2884, 0.9407, 0.2269)
S (0.6523, 0.7116, 0.2269)
S (0.6523, 0.9407, 0.7731)



Entry from the Alexandria database: a geometry-optimized Cs4Pm3ScTe8 structure (PBE).

Values from the calculation:
- V (Å³/cell) = 650
- crystal system = trigonal
- raw formation energy (eV/atom) = -1.358

Lattice parameters (Å, degrees): 10.3750 10.3750 10.3750 52.45 52.45 52.45
Fractional positions:
Cs (0.0000, 0.0000, 0.0000)
Cs (0.0000, 0.5000, 0.5000)
Cs (0.5000, 0.0000, 0.5000)
Cs (0.5000, 0.5000, 0.0000)
Pm (0.0000, 0.0000, 0.5000)
Pm (0.0000, 0.5000, 0.0000)
Pm (0.5000, 0.0000, 0.0000)
Sc (0.5000, 0.5000, 0.5000)
Te (0.2320, 0.2320, 0.2320)
Te (0.2447, 0.7218, 0.7218)
Te (0.2782, 0.2782, 0.7553)
Te (0.2782, 0.7553, 0.2782)
Te (0.7218, 0.2447, 0.7218)
Te (0.7218, 0.7218, 0.2447)
Te (0.7553, 0.2782, 0.2782)
Te (0.7680, 0.7680, 0.7680)



Entry from the Alexandria database: a geometry-optimized KNa2ReRu structure (PBE).

Values from the calculation:
- V (Å³/cell) = 106
- crystal system = tetragonal
- formation enthalpy at 0 K (meV per atom) = 2355.3

Lattice parameters (Å, degrees): 4.5190 4.5190 5.1891 90.00 90.00 90.00
Fractional positions:
K (0.0000, 0.0000, 0.0000)
Na (0.0000, 0.5000, 0.0000)
Na (0.5000, 0.0000, 0.0000)
Re (0.0000, 0.0000, 0.5000)
Ru (0.5000, 0.5000, 0.5000)



Entry from the Alexandria database: a geometry-optimized Tm2Th3Mg2 structure (PBE).

Values from the calculation:
- V (Å³/cell) = 420
- crystal system = orthorhombic
- formation enthalpy at 0 K (meV per atom) = 113.5

Lattice parameters (Å, degrees): 3.5179 34.0681 3.5073 90.00 90.00 90.00
Fractional positions:
Tm (0.0000, 0.2071, 0.0000)
Tm (0.0000, 0.7929, 0.0000)
Tm (0.5000, 0.2929, 0.0000)
Tm (0.5000, 0.7071, 0.0000)
Th (0.0000, 0.0752, 0.0000)
Th (0.0000, 0.5000, 0.5000)
Th (0.0000, 0.9248, 0.0000)
Th (0.5000, 0.0000, 0.5000)
Th (0.5000, 0.4248, 0.0000)
Th (0.5000, 0.5752, 0.0000)
Mg (0.0000, 0.3560, 0.5000)
Mg (0.0000, 0.6440, 0.5000)
Mg (0.5000, 0.1440, 0.5000)
Mg (0.5000, 0.8560, 0.5000)